Material: TlTePO
Method: DFT, PBE
State: relaxed

```
TlTePO
1.0
-5.6067 3.9103 -1.3868
-1.6894 -2.9107 -1.3773
-2.2396 -2.5078 8.0469
O Tl P Te
2 2 2 2
direct
0.9689 0.0000 0.8775
0.9689 0.5000 0.3775
0.1758 0.0000 0.5193
0.1758 0.5000 0.0193
0.5285 0.0000 0.2979
0.5285 0.5000 0.7979
0.7440 0.5000 0.2198
0.7440 0.0000 0.7198
```

Calculated values
E_form (uncorrected) ... -0.20 eV per atom
Distance to the lowest polymorph of the same formula ... 0.448 eV per atom
Calculated total energy ... -33.34 eV per cell

=====

Material: TmI4N2
Method: DFT, PBE
State: relaxed

```
TmI4N2
1.0
-2.4334 3.0565 0.0016
-4.6707 -8.8345 -0.9166
-5.2402 -1.7594 6.1591
N I Tm
2 4 1
direct
0.3432 0.1693 0.6497
0.6568 0.8307 0.3503
0.9721 0.2331 0.5181
0.2392 0.7480 0.0056
0.0279 0.7669 0.4819
0.7608 0.2520 0.9944
0.0000 0.0000 0.0000
```

Calculated values
E_form (uncorrected) ... 0.09 eV per atom
Calculated total energy ... -26.66 eV per cell

=====

Material: NdPuV
Method: DFT, PBE
State: relaxed

```
NdPuV
1.0
4.9860 0.9981 -1.3559
1.2539 2.7975 -0.9971
-10.4343 -5.3470 14.7984
V Pu Nd
2 2 2
direct
0.1707 0.9489 0.4603
0.8293 0.0511 0.5397
0.6112 0.3277 0.6808
0.3888 0.6723 0.3192
0.5024 0.7376 0.8765
0.4976 0.2624 0.1235
```

Calculated values
E_form ... 284 meV per atom
Calculated total energy ... -54.73 eV per cell

=====

Material: Y2MnCu
Method: DFT, PBE
State: relaxed

```
Y2MnCu
1.0
-0.1003 4.3382 -1.1640
-3.6865 0.5857 2.5003
3.6208 4.6343 8.2894
Cu Y Mn
2 4 2
direct
0.0000 0.0000 0.0000
0.7500 0.2500 0.5000
0.1200 0.6250 0.2500
0.3750 0.3700 0.7500
0.8750 0.8800 0.7500
0.6300 0.1250 0.2500
0.5000 0.5000 0.0000
0.2500 0.7500 0.5000
```

Calculated values
E_form ... 656 meV per atom
Calculated total energy ... -47.14 eV per cell

=====

Material: Sr3Ni5S12
Method: DFT, PBE
State: relaxed

```
Sr3Ni5S12
1.0
-3.1032 9.5839 7.9295
-6.1179 -10.6757 3.5997
12.6595 -1.9765 0.4341
S Ni Sr
48 20 12
direct
0.8071 0.3190 0.9114
0.1043 0.4114 0.0924
0.1810 0.0886 0.6929
0.6929 0.5886 0.1810
0.3957 0.4076 0.0886
0.5924 0.9881 0.6810
0.4114 0.1043 0.5924
0.8957 0.3071 0.4881
0.6810 0.4881 0.5924
0.9881 0.3957 0.3071
0.9114 0.0924 0.6043
0.5886 0.8957 0.4076
0.3957 0.9881 0.8071
0.0924 0.9114 0.1043
0.8190 0.9114 0.3071
0.1929 0.6810 0.0886
0.0119 0.4076 0.8190
0.3190 0.5119 0.4076
0.0886 0.1810 0.1929
0.5886 0.6929 0.6810
0.6929 0.1043 0.0119
0.8190 0.9076 0.0119
0.9076 0.0886 0.8957
0.6043 0.5924 0.9114
0.1043 0.6929 0.5119
0.1929 0.5119 0.6043
0.9881 0.5924 0.1810
0.4076 0.3957 0.5886
0.4114 0.3071 0.3190
0.6810 0.1929 0.5886
0.8071 0.4881 0.3957
0.4881 0.6810 0.0924
0.5119 0.3190 0.9076
0.0119 0.6043 0.6929
0.4076 0.0119 0.3190
0.9076 0.8190 0.5119
0.5119 0.1929 0.1043
0.0924 0.1810 0.4881
0.4881 0.8071 0.8957
0.3190 0.8071 0.4114
0.3071 0.8957 0.9881
0.0886 0.9076 0.3957
0.5924 0.6043 0.4114
0.1810 0.0924 0.9881
0.3071 0.4114 0.8190
0.6043 0.0119 0.1929
0.8957 0.5886 0.9076
0.9114 0.8190 0.8071
0.0000 0.5000 0.5000
0.3750 0.1250 0.7500
0.5000 0.5000 0.0000
0.5000 0.0000 0.0000
0.3750 0.2500 0.1250
0.6250 0.8750 0.2500
0.5000 0.0000 0.5000
0.5000 0.5000 0.5000
0.0000 0.0000 0.0000
0.0000 0.5000 0.0000
0.2500 0.8750 0.1250
0.7500 0.1250 0.8750
0.8750 0.2500 0.6250
0.1250 0.7500 0.3750
0.0000 0.0000 0.5000
0.2500 0.3750 0.6250
0.6250 0.7500 0.8750
0.7500 0.6250 0.3750
0.8750 0.6250 0.7500
0.1250 0.3750 0.2500
0.6250 0.3750 0.7500
0.3750 0.6250 0.2500
0.2500 0.1250 0.3750
0.6250 0.2500 0.3750
0.1250 0.8750 0.7500
0.8750 0.7500 0.1250
0.7500 0.8750 0.6250
0.8750 0.1250 0.2500
0.7500 0.3750 0.1250
0.2500 0.6250 0.8750
0.1250 0.2500 0.8750
0.3750 0.7500 0.6250
```

Calculated values
E_form (uncorrected) ... -0.59 eV per atom
Calculated total energy ... -380.88 eV per cell

=====

Material: HoTaPd
Method: DFT, PBE
State: relaxed

```
HoTaPd
1.0
4.6598 0.0000 0.0000
-2.3299 2.3353 0.0000
0.0000 0.0000 11.1864
Ho Ta Pd
2 2 2
direct
0.6944 0.3889 0.3322
0.6944 0.3889 0.6678
0.1944 0.3889 0.1399
0.1944 0.3889 0.8601
0.6944 0.3888 0.0000
0.1945 0.3889 0.5000
```

Calculated values
E_form ... -184 meV per atom
Calculated total energy ... -44.35 eV per cell

=====

Material: Pb3W
Method: DFT, PBE
State: relaxed

```
Pb3W
1.0
-1.1544 6.1251 -5.5338
-6.4558 -4.6054 -2.5660
-2.0200 1.6063 2.1993
W Pb
2 6
direct
0.5751 0.4249 0.2500
0.4249 0.5751 0.7500
0.1596 0.3935 0.2500
0.3935 0.1596 0.7500
0.6065 0.8404 0.2500
0.2018 0.7982 0.2500
0.7982 0.2018 0.7500
0.8404 0.6065 0.7500
```

Calculated values
Distance to the lowest polymorph of the same formula ... 0.000 eV per atom
E_form ... 458 meV per atom
Calculated total energy ... -44.49 eV per cell

=====

Material: K2RbTe2
Method: DFT, PBE
State: relaxed

```
K2RbTe2
1.0
5.5031 0.0000 0.0000
0.0000 5.5031 0.0000
2.7515 2.7515 7.5356
K Te Rb
2 2 1
direct
0.2500 0.7500 0.5000
0.7500 0.2500 0.5000
0.6093 0.6093 0.7813
0.3907 0.3907 0.2187
0.0000 0.0000 0.0000
```

Calculated values
E_form (uncorrected) ... -0.77 eV per atom
Distance to the lowest polymorph of the same formula ... 0.131 eV per atom
Calculated total energy ... -13.29 eV per cell

=====

Material: Na2LaSbSe4
Method: DFT, PBE
State: relaxed

```
Na2LaSbSe4
1.0
-0.3370 4.0630 -1.2942
-4.0766 1.5685 5.9857
7.1877 1.0906 1.5521
Na Se La Sb
2 4 1 1
direct
0.0000 0.5000 0.5000
0.5000 0.0000 0.5000
0.5000 0.7640 0.7667
0.0000 0.2452 0.7639
0.0000 0.7548 0.2361
0.5000 0.2360 0.2333
0.5000 0.5000 0.0000
0.0000 0.0000 0.0000
```

Calculated values
E_form (uncorrected) ... -1.19 eV per atom
Calculated total energy ... -35.15 eV per cell

=====

Material: PrNiSb2
Method: DFT, PBE
State: relaxed

```
PrNiSb2
1.0
4.3620 0.0851 -0.7696
-0.2207 4.3573 -0.7696
-0.4205 -0.4511 10.3178
Pr Sb Ni
2 4 2
direct
0.1299 0.1299 0.2600
0.8699 0.8699 0.7400
0.6845 0.6845 0.3689
0.9998 0.4997 0.0000
0.3156 0.3156 0.6311
0.4997 0.9998 0.0000
0.7501 0.2501 0.5000
0.2501 0.7501 0.5000
```

Calculated values
E_form (uncorrected) ... -0.71 eV per atom
Calculated total energy ... -43.30 eV per cell

=====

Material: MgSiSn
Method: DFT, PBE
State: relaxed

```
MgSiSn
1.0
-3.3574 -1.4123 -0.5880
1.5608 -1.5823 -4.1885
2.1845 -5.8003 5.0394
Si Mg Sn
2 2 2
direct
0.0856 0.7517 0.1251
0.5633 0.8382 0.9496
0.5765 0.6067 0.6072
0.0693 0.2479 0.8578
0.6051 0.3497 0.2202
0.0780 0.0400 0.4699
```

Calculated values
E_form (uncorrected) ... 0.10 eV per atom
Distance to the lowest polymorph of the same formula ... 0.080 eV per atom
Calculated total energy ... -21.47 eV per cell

=====

Material: BaPm2Cu
Method: DFT, PBE
State: relaxed

```
BaPm2Cu
1.0
3.7051 0.0000 0.0000
0.0000 3.7051 0.0000
0.0000 0.0000 9.7057
Pm Ba Cu
2 1 1
direct
0.0000 0.0000 0.8350
0.0000 0.0000 0.1650
0.5000 0.5000 0.5000
0.5000 0.5000 0.0000
```

Calculated values
Distance to the lowest polymorph of the same formula ... 0.000 eV per atom
E_form ... 45 meV per atom
Calculated total energy ... -15.34 eV per cell

=====

Material: Ac2ZnHg2
Method: DFT, PBE
State: relaxed

```
Ac2ZnHg2
1.0
-1.2391 -0.3677 -4.6565
0.9847 -5.8314 -2.3092
-10.5466 -2.6939 0.5116
Ac Hg Zn
4 4 2
direct
0.3195 0.7066 0.6544
0.0814 0.7279 0.1093
0.9186 0.2721 0.8907
0.6805 0.2934 0.3456
0.0782 0.2728 0.5708
0.9218 0.7272 0.4292
0.3587 0.1620 0.1207
0.6413 0.8380 0.8793
0.3821 0.8920 0.3438
0.6179 0.1080 0.6562
```

Calculated values
E_form ... -397 meV per atom
Calculated total energy ... -24.16 eV per cell

=====

Material: K2CoRh
Method: DFT, PBE
State: relaxed

```
K2CoRh
1.0
5.2944 0.0000 0.0000
0.0000 2.9137 0.0000
0.0000 0.0000 5.6235
K Rh Co
2 1 1
direct
0.0000 0.0000 0.4985
0.0000 0.0000 0.0015
0.5000 0.5000 0.2500
0.5000 0.5000 0.7500
```

Calculated values
Distance to the lowest polymorph of the same formula ... 0.576 eV per atom
E_form ... 1026 meV per atom
Calculated total energy ... -12.55 eV per cell

=====

Material: ThScReSi2
Method: DFT, PBE
State: relaxed

```
ThScReSi2
1.0
4.1164 0.0000 0.0000
0.0000 4.1164 0.0000
-2.0582 -2.0582 5.6470
Th Sc Si Re
1 1 2 1
direct
0.0000 0.0000 0.0000
0.2500 0.7500 0.5000
0.3927 0.3927 0.7854
0.6073 0.6073 0.2146
0.7500 0.2500 0.5000
```

Calculated values
E_form (uncorrected) ... -0.62 eV per atom
Calculated total energy ... -40.16 eV per cell

=====

Material: BeCoIr
Method: DFT, PBE
State: relaxed

```
BeCoIr
1.0
6.2386 -0.0060 0.0040
5.4608 2.4744 0.0039
0.7778 -0.9562 2.2887
Ir Co Be
1 1 1
direct
0.6567 0.6567 0.3433
0.3460 0.3460 0.6540
0.9972 0.9972 0.0028
```

Calculated values
Distance to the lowest polymorph of the same formula ... 0.283 eV per atom
E_form ... 33 meV per atom
Calculated total energy ... -19.59 eV per cell

=====

Material: CsHfGa2Os
Method: DFT, PBE
State: relaxed

```
CsHfGa2Os
1.0
5.2965 0.0000 0.0000
0.0000 5.0378 0.0000
0.0000 0.0000 5.2965
Os Ga Cs Hf
1 2 1 1
direct
0.0000 0.5000 0.0000
0.5000 0.0000 0.0000
0.0000 0.0000 0.5000
0.0000 0.0000 0.0000
0.5000 0.5000 0.5000
```

Calculated values
E_form ... 2388 meV per atom
Calculated total energy ... -16.15 eV per cell

=====

Material: POsC
Method: DFT, PBE
State: relaxed

```
POsC
1.0
-1.3593 -2.2273 1.0365
2.3501 -0.7614 1.4458
-2.7400 4.9607 7.0662
Os P C
2 2 2
direct
0.0000 0.0000 0.5655
0.0000 0.5000 0.0655
0.5000 0.5000 0.2740
0.5000 0.0000 0.7740
0.5000 0.0000 0.3925
0.5000 0.5000 0.8925
```

Calculated values
Distance to the lowest polymorph of the same formula ... 0.000 eV per atom
E_form ... 393 meV per atom
Calculated total energy ... -49.37 eV per cell

=====

Material: Mg2NbHgF
Method: DFT, PBE
State: relaxed

```
Mg2NbHgF
1.0
-4.4655 -3.4330 -0.4508
1.2829 -1.1858 -3.6781
2.9697 -4.1757 2.3820
F Hg Nb Mg
1 1 1 2
direct
0.0000 0.5000 0.0000
0.5000 0.5000 0.5000
0.0000 0.0000 0.0000
0.0000 0.0000 0.5000
0.5000 0.0000 0.0000
```

Calculated values
E_form (uncorrected) ... -0.02 eV per atom
Calculated total energy ... -15.51 eV per cell

=====

Material: Y2ZrBr
Method: DFT, PBE
State: relaxed

```
Y2ZrBr
1.0
3.4097 0.0000 0.0000
0.0000 3.4097 0.0000
0.0000 0.0000 9.6046
Y Br Zr
2 1 1
direct
0.0000 0.0000 0.9734
0.5000 0.5000 0.2638
0.5000 0.5000 0.7684
0.0000 0.0000 0.4945
```

Calculated values
E_form (uncorrected) ... -0.22 eV per atom
Distance to the lowest polymorph of the same formula ... 0.252 eV per atom
Calculated total energy ... -24.04 eV per cell

=====

Material: NdGa4Hg
Method: DFT, PBE
State: relaxed

```
NdGa4Hg
1.0
5.6554 0.0000 0.0000
2.8277 4.8977 0.0000
2.8277 1.6326 4.6176
Nd Ga Hg
1 4 1
direct
0.2500 0.2500 0.2500
0.6248 0.1255 0.6248
0.6248 0.6248 0.6248
0.6248 0.6248 0.1255
0.1255 0.6248 0.6248
0.0000 0.0000 0.0000
```

Calculated values
E_form ... -234 meV per atom
Calculated total energy ... -18.58 eV per cell

=====

Material: SrSmAl4
Method: DFT, PBE
State: relaxed

```
SrSmAl4
1.0
-3.5214 -4.1445 1.8106
1.0965 -2.7515 4.9074
-3.3342 0.8703 4.5806
Sr Al Sm
1 4 1
direct
0.2500 0.2500 0.2500
0.1236 0.6255 0.6255
0.6255 0.1236 0.6255
0.6255 0.6255 0.6255
0.6255 0.6255 0.1236
0.0000 0.0000 0.0000
```

Calculated values
E_form ... -358 meV per atom
Calculated total energy ... -23.52 eV per cell

=====

Material: CdPtAu2
Method: DFT, PBE
State: relaxed

```
CdPtAu2
1.0
-0.6078 2.6947 3.0938
-4.0716 -0.7989 -0.1040
0.5251 -3.0336 2.7454
Au Pt Cd
2 1 1
direct
0.0000 0.0000 0.0000
0.5000 0.5000 0.0000
0.0000 0.5000 0.5000
0.5000 0.0000 0.5000
```

Calculated values
E_form ... -185 meV per atom
Calculated total energy ... -14.25 eV per cell